Record 1
Crystalline Pd4PbAu5 at its relaxed geometry. Source: Alexandria, functional PBE-GGA.

Uncorrected energy = -4.14 eV per atom
Energy relative to the elements = -0.053 eV/atom

Unit cell a=13.9443 b=4.3388 c=6.9155 alpha=90.00 beta=116.42 gamma=90.00
Space group C2/m (No. 12)
Symmetry-distinct sites (fractional):
1 Pd 0.0280 0.0000 0.2536 x4
2 Pd 0.1788 0.5000 0.4186 x4
3 Pb 0.0000 0.5000 0.0000 x2
4 Au 0.0000 0.5000 0.5000 x2
5 Au 0.1567 0.0000 0.6962 x4
6 Au 0.1968 0.0000 0.1269 x4



Record 2
Crystalline Np2Se5 at its relaxed geometry. Source: Alexandria, functional PBE-GGA.

Uncorrected energy = -7.11 eV per atom
Uncorrected formation energy = -927 meV per atom
Distance to the lowest polymorph of the same formula = 40 meV per atom

Unit cell a=4.0421 b=40.7859 c=4.0428 alpha=90.00 beta=90.00 gamma=90.00
Space group Cmcm (No. 63)
Symmetry-distinct sites (fractional):
1 Np 0.0000 0.1024 0.2500 x4
2 Np 0.0000 0.3048 0.2500 x4
3 Se 0.0000 0.0487 0.7500 x4
4 Se 0.0000 0.1770 0.2500 x4
5 Se 0.0000 0.2500 0.7500 x4
6 Se 0.0000 0.3779 0.2500 x4
7 Se 0.0000 0.4513 0.7500 x4



Record 3
Crystalline Nd2Cd2SnRh5 at its relaxed geometry. Source: Alexandria, functional PBE-GGA.

Uncorrected energy = -5.58 eV per atom
Energy relative to the elements = -0.363 eV/atom

Unit cell a=10.2223 b=10.2223 c=3.7479 alpha=90.00 beta=90.00 gamma=90.00
Space group P4/mbm (No. 127)
Symmetry-distinct sites (fractional):
1 Nd 0.1679 0.3321 0.0000 x4
2 Cd 0.1320 0.6320 0.0000 x4
3 Sn 0.0000 0.0000 0.0000 x2
4 Rh 0.0000 0.5000 0.5000 x2
5 Rh 0.0410 0.8020 0.5000 x8



Record 4
Crystalline Be2AlSiAg at its relaxed geometry. Source: Alexandria, functional PBE-GGA.

Uncorrected energy = -2.93 eV per atom
Uncorrected formation energy = 961 meV per atom

Unit cell a=4.3395 b=4.3395 c=4.7511 alpha=90.00 beta=90.00 gamma=90.00
Space group P4/mmm (No. 123)
Symmetry-distinct sites (fractional):
1 Be 0.0000 0.5000 0.0000 x2
2 Al 0.0000 0.0000 0.5000 x1
3 Si 0.5000 0.5000 0.5000 x1
4 Ag 0.0000 0.0000 0.0000 x1



Record 5
Crystalline MgReTe2 at its relaxed geometry. Source: Alexandria, functional PBE-GGA.

Uncorrected energy = -4.35 eV per atom
Uncorrected formation energy = 735 meV per atom

Unit cell a=3.1243 b=3.1243 c=33.1315 alpha=90.00 beta=90.00 gamma=120.00
Space group R-3m (No. 166, hexagonal axes)
Symmetry-distinct sites (fractional):
1 Mg 0.0000 0.0000 0.0000 x3
2 Re 0.0000 0.0000 0.5000 x3
3 Te 0.0000 0.0000 0.4207 x6



Record 6
Crystalline CsOsO4 at its relaxed geometry. Source: Alexandria, functional PBE-GGA.

Uncorrected energy = -6.61 eV per atom
Uncorrected formation energy = -1289 meV per atom

Unit cell a=10.4039 b=9.0077 c=6.4774 alpha=90.00 beta=90.00 gamma=90.00
Space group Ama2 (No. 40)
Symmetry-distinct sites (fractional):
1 Cs 0.0000 0.0000 0.0000 x4
2 Os 0.2500 0.0823 0.4656 x4
3 O 0.1022 0.1750 0.4293 x8
4 O 0.2500 0.0255 0.7266 x4
5 O 0.2500 0.4468 0.7683 x4



Record 7
Crystalline TaFeSi at its relaxed geometry. Source: Alexandria, functional PBE-GGA.

Uncorrected energy = -8.18 eV per atom
Uncorrected formation energy = 404 meV per atom

Unit cell a=5.8661 b=5.8661 c=5.8661 alpha=90.00 beta=90.00 gamma=90.00
Space group F-43m (No. 216)
Symmetry-distinct sites (fractional):
1 Ta 0.0000 0.0000 0.0000 x4
2 Fe 0.2500 0.2500 0.2500 x4
3 Si 0.2500 0.2500 0.7500 x4



Record 8
Crystalline KTcAs2 at its relaxed geometry. Source: Alexandria, functional PBE-GGA.

Uncorrected energy = -5.32 eV per atom
Distance to the lowest polymorph of the same formula = 118 meV per atom
Energy relative to the elements = -0.131 eV/atom

Unit cell a=3.1389 b=3.4343 c=16.2920 alpha=90.00 beta=90.00 gamma=90.00
Space group Imm2 (No. 44)
Symmetry-distinct sites (fractional):
1 K 0.0000 0.0000 0.0000 x2
2 Tc 0.0000 0.5000 0.2609 x2
3 As 0.0000 0.0000 0.6440 x2
4 As 0.0000 0.5000 0.8306 x2